## P
Density functional theory data (SCAN) for a PBEsol-optimized structure of Ca2FeOs.

Cell and atoms, written as POSCAR:
```
Ca2FeOs
1.0
2.9165 -4.5207 0.0000
2.9165 4.5207 0.0000
0.0000 0.0000 2.8120
Ca Fe Os
2 1 1
direct
0.0000 0.5000 0.0000
0.5000 0.0000 0.0000
0.0000 0.0000 0.5000
0.5000 0.5000 0.5000
```

Computed properties:
**Magnetization**: 2.93 μB/f.u.



## Q
Density functional theory data (SCAN) for a PBEsol-optimized structure of Ca2FeOs.

Cell and atoms, written as POSCAR:
```
Ca2FeOs
1.0
-1.9473 2.4622 4.2931
1.9473 -2.4622 4.2931
1.9473 2.4622 -4.2931
Ca Fe Os
2 1 1
direct
0.0000 0.0000 0.0000
0.7066 0.2066 0.5000
0.2900 0.7900 0.5000
0.4134 0.4134 0.0000
```

Computed properties:
**Magnetization**: 1.49 μB/f.u.



Result of the stability comparison: Q is the most stable of them.



## P
Density functional theory data (SCAN) for a PBEsol-optimized structure of Ca2FeOs.

Cell and atoms, written as POSCAR:
```
Ca2FeOs
1.0
2.7903 0.0000 0.0000
0.0000 4.5521 0.0000
0.0000 0.0000 5.8362
Ca Fe Os
2 1 1
direct
0.0000 0.0000 0.2472
0.0000 0.0000 0.7528
0.5000 0.5000 0.5000
0.5000 0.5000 0.0000
```

Computed properties:
**Magnetization**: 2.90 μB/f.u.



## Q
Density functional theory data (SCAN) for a PBEsol-optimized structure of Ca2FeOs.

Cell and atoms, written as POSCAR:
```
Ca2FeOs
1.0
1.9425 1.1215 7.8221
-1.9425 1.1215 7.8221
0.0000 -2.2430 7.8221
Ca Fe Os
2 1 1
direct
0.0000 0.0000 0.0000
0.1802 0.1802 0.1802
0.7633 0.7633 0.7633
0.4187 0.4187 0.4187
```

Computed properties:
**Magnetization**: 0.34 μB/f.u.



Result of the stability comparison: Q is the most stable of them.



## P
Density functional theory data (SCAN) for a PBEsol-optimized structure of CaFeRe2.

Cell and atoms, written as POSCAR:
```
CaFeRe2
1.0
-1.5439 2.3586 4.3815
1.5439 -2.3586 4.3815
1.5439 2.3586 -4.3815
Ca Fe Re
1 1 2
direct
0.0000 0.0000 0.0000
0.7299 0.2299 0.5000
0.2810 0.7810 0.5000
0.5073 0.5073 0.0000
```

Computed properties:
**Magnetization**: 2.07 μB/f.u.



## Q
Density functional theory data (SCAN) for a PBEsol-optimized structure of CaFeRe2.

Cell and atoms, written as POSCAR:
```
CaFeRe2
1.0
2.6585 -4.7097 0.0000
2.6585 4.7097 0.0000
-0.8170 0.0000 2.4737
Ca Fe Re
1 1 2
direct
0.0000 0.0000 0.0000
0.5000 0.5000 0.0000
0.0000 0.5000 0.5000
0.5000 0.0000 0.5000
```

Computed properties:
**Magnetization**: 2.57 μB/f.u.



Result of the stability comparison: Q is the most stable of them.



## P
Density functional theory data (SCAN) for a PBEsol-optimized structure of CaFeRh2.

Cell and atoms, written as POSCAR:
```
CaFeRh2
1.0
-1.9237 1.9237 4.1771
1.9237 -1.9237 4.1771
1.9237 1.9237 -4.1771
Ca Fe Rh
1 1 2
direct
0.0000 0.0000 0.0000
0.7500 0.2500 0.5000
0.2500 0.7500 0.5000
0.5000 0.5000 0.0000
```

Computed properties:
**Magnetization**: 4.03 μB/f.u.



## Q
Density functional theory data (SCAN) for a PBEsol-optimized structure of CaFeRh2.

Cell and atoms, written as POSCAR:
```
CaFeRh2
1.0
1.4442 0.8338 8.5395
-1.4442 0.8338 8.5395
0.0000 -1.6676 8.5395
Ca Fe Rh
1 1 2
direct
0.0000 0.0000 0.0000
0.5000 0.5000 0.5000
0.2419 0.2419 0.2419
0.7581 0.7581 0.7581
```

Computed properties:
**Magnetization**: 4.11 μB/f.u.



Result of the stability comparison: P is the most stable of them.



## P
Density functional theory data (SCAN) for a PBEsol-optimized structure of CaFeRh2.

Cell and atoms, written as POSCAR:
```
CaFeRh2
1.0
2.8171 0.0000 0.0000
0.0000 3.6872 0.0000
0.0000 0.0000 6.2726
Ca Fe Rh
1 1 2
direct
0.0000 0.0000 0.0000
0.5000 0.5000 0.3366
0.0000 0.0000 0.4870
0.5000 0.5000 0.7203
```

Computed properties:
**Magnetization**: 3.89 μB/f.u.



## Q
Density functional theory data (SCAN) for a PBEsol-optimized structure of CaFeRh2.

Cell and atoms, written as POSCAR:
```
CaFeRh2
1.0
0.0000 3.1240 3.1240
3.1240 0.0000 3.1240
3.1240 3.1240 0.0000
Ca Fe Rh
1 1 2
direct
0.0000 0.0000 0.0000
0.5000 0.5000 0.5000
0.2500 0.2500 0.2500
0.7500 0.7500 0.7500
```

Computed properties:
**Magnetization**: 4.45 μB/f.u.



Result of the stability comparison: Q is the most stable of them.



## P
Density functional theory data (SCAN) for a PBEsol-optimized structure of Ca2ScFe.

Cell and atoms, written as POSCAR:
```
Ca2ScFe
1.0
0.0000 3.6865 3.6865
3.6865 0.0000 3.6865
3.6865 3.6865 0.0000
Ca Sc Fe
2 1 1
direct
0.2500 0.2500 0.2500
0.7500 0.7500 0.7500
0.0000 0.0000 0.0000
0.5000 0.5000 0.5000
```

Computed properties:
**Magnetization**: 2.84 μB/f.u.



## Q
Density functional theory data (SCAN) for a PBEsol-optimized structure of Ca2ScFe.

Cell and atoms, written as POSCAR:
```
Ca2ScFe
1.0
4.1922 -1.6919 0.0000
4.1922 1.6919 0.0000
-2.2564 0.0000 7.8048
Ca Sc Fe
2 1 1
direct
0.0000 0.0000 0.0000
0.1587 0.1587 0.5933
0.8042 0.8042 0.2969
0.5331 0.5331 0.2960
```

Computed properties:
**Magnetization**: 0.92 μB/f.u.



## R
Density functional theory data (SCAN) for a PBEsol-optimized structure of Ca2ScFe.

Cell and atoms, written as POSCAR:
```
Ca2ScFe
1.0
-2.3704 2.3704 4.2733
2.3704 -2.3704 4.2733
2.3704 2.3704 -4.2733
Ca Sc Fe
2 1 1
direct
0.0000 0.0000 0.0000
0.7500 0.2500 0.5000
0.2500 0.7500 0.5000
0.5000 0.5000 0.0000
```

Computed properties:
**Magnetization**: 1.02 μB/f.u.



## S
Density functional theory data (SCAN) for a PBEsol-optimized structure of Ca2ScFe.

Cell and atoms, written as POSCAR:
```
Ca2ScFe
1.0
3.4358 0.0000 0.0000
0.0000 3.4358 0.0000
0.0000 0.0000 8.6056
Ca Sc Fe
2 1 1
direct
0.0000 0.0000 0.0000
0.5000 0.5000 0.3585
0.0000 0.0000 0.6466
0.5000 0.5000 0.7674
```

Computed properties:
**Magnetization**: 1.48 μB/f.u.



Result of the stability comparison: S is the most stable of them.



## P
Density functional theory data (SCAN) for a PBEsol-optimized structure of CaFeW.

Cell and atoms, written as POSCAR:
```
CaFeW
1.0
-1.5348 1.5348 5.7705
1.5348 -1.5348 5.7705
1.5348 1.5348 -5.7705
Ca Fe W
1 1 1
direct
0.0000 0.0000 0.0000
0.3025 0.3025 0.0000
0.7147 0.7147 0.0000
```

Computed properties:
**Magnetization**: 1.34 μB/f.u.



## Q
Density functional theory data (SCAN) for a PBEsol-optimized structure of CaFeW.

Cell and atoms, written as POSCAR:
```
CaFeW
1.0
3.1589 0.0000 0.0000
-1.5795 2.7357 0.0000
0.0000 0.0000 6.5802
Ca Fe W
1 1 1
direct
0.0000 0.0000 0.0000
0.3333 0.6667 0.6356
0.6667 0.3333 0.4248
```

Computed properties:
**Magnetization**: 0.00 μB/f.u.



Result of the stability comparison: P is the most stable of them.



## P
Density functional theory data (SCAN) for a PBEsol-optimized structure of Ca2YFe.

Cell and atoms, written as POSCAR:
```
Ca2YFe
1.0
1.7477 1.0090 10.5971
-1.7477 1.0090 10.5971
0.0000 -2.0181 10.5971
Ca Y Fe
2 1 1
direct
0.2341 0.2341 0.2341
0.7659 0.7659 0.7659
0.0000 0.0000 0.0000
0.5000 0.5000 0.5000
```

Computed properties:
**Magnetization**: 3.04 μB/f.u.



## Q
Density functional theory data (SCAN) for a PBEsol-optimized structure of Ca2YFe.

Cell and atoms, written as POSCAR:
```
Ca2YFe
1.0
-1.6716 2.1308 8.2773
1.6716 -2.1308 8.2773
1.6716 2.1308 -8.2773
Ca Y Fe
2 1 1
direct
0.1617 0.1617 0.0000
0.8383 0.8383 0.0000
0.5000 0.0000 0.5000
0.0000 0.5000 0.5000
```

Computed properties:
**Magnetization**: 1.53 μB/f.u.



Result of the stability comparison: Q is the most stable of them.